[1]
Below is crystalline DyRe2N6 at its relaxed geometry, with properties calculated at the PBE level.

Symmetry: C2/c
Density: 6.28 g cm⁻³
Total magnetization: 0.117 μB per atom
Energy relative to the elements, uncorrected: -0.079 eV/atom

Cell: 6.2925 7.4535 7.4535 Å, 85.44 75.35 75.35°
Element x y z (fractional)
Dy  0.2500  0.0931  0.9069
Dy  0.7500  0.9069  0.0931
Re  0.2469  0.6242  0.7804
Re  0.2531  0.2196  0.3758
Re  0.7531  0.3758  0.2196
Re  0.7469  0.7804  0.6242
N  0.5390  0.6346  0.6465
N  0.9610  0.3535  0.3654
N  0.4610  0.3654  0.3535
N  0.0390  0.6465  0.6346
N  0.7677  0.8895  0.4036
N  0.7323  0.5964  0.1105
N  0.2323  0.1105  0.5964
N  0.2677  0.4036  0.8895
N  0.1391  0.8038  0.9495
N  0.3609  0.0505  0.1962
N  0.8609  0.1962  0.0505
N  0.6391  0.9495  0.8038


[2]
Below is crystalline Mg2Cu2P at its relaxed geometry, with properties calculated at the PBE level.

Symmetry: P4/mbm
Energy above the lowest structure with this stoichiometry: 306 meV per atom
Density: 3.93 g cm⁻³
Total magnetization: 0.000 μB per atom
Energy of formation from the pure elements: 0.16 eV/atom

Cell: 6.6297 6.6297 3.9772 Å, 90.00 90.00 90.00°
Element x y z (fractional)
Mg  0.8432  0.3432  0.0000
Mg  0.1568  0.6568  0.0000
Mg  0.3432  0.1568  0.0000
Mg  0.6568  0.8432  0.0000
Cu  0.6306  0.1306  0.5000
Cu  0.3694  0.8694  0.5000
Cu  0.1306  0.3694  0.5000
Cu  0.8694  0.6306  0.5000
P  0.0000  0.0000  0.0000
P  0.5000  0.5000  0.0000


For the records above, the corresponding energy values read -160.3; -32.0 eV for the cell shown.